The following is a PBE-GGA calculation of a relaxed Ti2Al5Ni2Rh crystal, from Alexandria.

Output
Fermi-level density of states	14.62	states/eV/cell
total DFT energy (no corrections)	-5.9109	eV/atom

Unit cell a=8.7292 b=8.7292 c=3.7974 alpha=90.00 beta=90.00 gamma=90.00
Last column: nearest neighbours and their distance in Å.
Space group P4/mbm (No. 127)
Inequivalent atoms, fractional coordinates:
Ti1 0.1762 0.3238 0.0000  3 Ni 2.53-2.62
Al1 0.0000 0.5000 0.5000  4 Ni 2.40, 4 Al 2.65
Al2 0.0677 0.7958 0.5000  2 Ni 2.49, 3 Al 2.65-2.66, 2 Rh 2.67
Ni1 0.1185 0.6185 0.0000  6 Al 2.40-2.49, 3 Ti 2.53-2.62
Rh1 0.0000 0.0000 0.0000  8 Al 2.67


The following is a PBE-GGA calculation of a relaxed Ti2Al5NiRh2 crystal, from Alexandria.

Output
Fermi-level density of states	9.64	states/eV/cell
total DFT energy (no corrections)	-6.0624	eV/atom

Unit cell a=8.8353 b=8.8353 c=3.9500 alpha=90.00 beta=90.00 gamma=90.00
Last column: nearest neighbours and their distance in Å.
Space group P4/mbm (No. 127)
Inequivalent atoms, fractional coordinates:
Ti1 0.1763 0.3237 0.0000  3 Rh 2.54-2.67
Al1 0.0000 0.5000 0.5000  4 Rh 2.49, 4 Al 2.72
Al2 0.0681 0.8006 0.5000  2 Rh 2.58, 3 Al 2.63-2.72, 2 Ni 2.71
Ni1 0.0000 0.0000 0.0000  8 Al 2.71
Rh1 0.1207 0.6207 0.0000  6 Al 2.49-2.58, 3 Ti 2.54-2.67


The following is a PBE-GGA calculation of a relaxed TmAlNiRh crystal, from Alexandria.

Output
Fermi-level density of states	9.88	states/eV/cell
total DFT energy (no corrections)	-6.0483	eV/atom

Unit cell a=6.3476 b=6.3476 c=6.3476 alpha=90.00 beta=90.00 gamma=90.00
Last column: nearest neighbours and their distance in Å.
Space group F-43m (No. 216)
Inequivalent atoms, fractional coordinates:
Tm1 0.0000 0.0000 0.0000  4 Rh 2.75, 4 Ni 2.75
Al1 0.0000 0.0000 0.5000  4 Ni 2.75, 4 Rh 2.75
Ni1 0.2500 0.2500 0.7500  4 Tm 2.75, 4 Al 2.75
Rh1 0.2500 0.2500 0.2500  4 Tm 2.75, 4 Al 2.75


The following is a PBE-GGA calculation of a relaxed Y2Al5Ni2Rh crystal, from Alexandria.

Output
Fermi-level density of states	13.98	states/eV/cell
total DFT energy (no corrections)	-5.6469	eV/atom

Unit cell a=9.2222 b=9.2222 c=3.9718 alpha=90.00 beta=90.00 gamma=90.00
Last column: nearest neighbours and their distance in Å.
Space group P4/mbm (No. 127)
Inequivalent atoms, fractional coordinates:
Y1 0.1818 0.3182 0.0000  3 Ni 2.69-2.79
Al1 0.0000 0.5000 0.5000  4 Ni 2.47
Al2 0.0584 0.7962 0.5000  2 Ni 2.66, 3 Al 2.77-2.78, 2 Rh 2.79
Ni1 0.1121 0.6121 0.0000  6 Al 2.47-2.66, 1 Y 2.69
Rh1 0.0000 0.0000 0.0000  8 Al 2.79